Entry 1:
A geometry-optimized Tl3Zn2TeO6 structure. Source: Alexandria via LeMat-Bulk, functional PBE-GGA.

Summary:
formation energy from raw total energies = -940 meV/atom
E = -4.485 eV/atom
total magnetization = 0.0 μB/cell

Unit cell a=5.5052 b=5.5052 c=7.2736 alpha=97.89 beta=97.89 gamma=120.07
With the nearest neighbours (Å) after each atom.
Positions (direct):
Tl 0.0000 0.0000 0.0000  6 O 2.98-3.20, 6 Tl 3.17-3.19
Tl 0.3344 0.6656 0.0000  6 O 2.97-3.13, 6 Tl 3.16-3.19
Tl 0.6656 0.3344 0.0000  6 O 2.97-3.13, 6 Tl 3.16-3.19
Zn 0.1668 0.8332 0.5000  6 O 2.19-2.20
Zn 0.8332 0.1668 0.5000  6 O 2.19-2.20
Te 0.5000 0.5000 0.5000  6 O 1.98
O 0.1398 0.4438 0.3486  1 Te 1.98, 2 Zn 2.19-2.20
O 0.2520 0.2520 0.6531  1 Te 1.98, 2 Zn 2.20
O 0.4438 0.1398 0.3486  1 Te 1.98, 2 Zn 2.19-2.20
O 0.5562 0.8602 0.6514  1 Te 1.98, 2 Zn 2.19-2.20
O 0.7480 0.7480 0.3469  1 Te 1.98, 2 Zn 2.20
O 0.8602 0.5562 0.6514  1 Te 1.98, 2 Zn 2.19-2.20


Entry 2:
A geometry-optimized TlZnTeO6 structure. Source: Alexandria via LeMat-Bulk, functional PBE-GGA.

Summary:
formation energy from raw total energies = -829 meV/atom
E = -4.888 eV/atom
total magnetization = 2.2 μB/cell

Unit cell a=5.3022 b=5.3022 c=9.4853 alpha=90.00 beta=90.00 gamma=120.00
With the nearest neighbours (Å) after each atom.
Positions (direct):
Tl 0.0000 0.0000 0.0000  6 O 2.31
Tl 0.0000 0.0000 0.5000  6 O 2.31
Zn 0.3333 0.6667 0.2500  6 O 2.08
Zn 0.6667 0.3333 0.7500  6 O 2.08
Te 0.3333 0.6667 0.7500  6 O 1.95
Te 0.6667 0.3333 0.2500  6 O 1.95
O 0.0176 0.3715 0.6353  1 Te 1.95, 1 Zn 2.08
O 0.0176 0.6461 0.8647  1 Te 1.95, 1 Zn 2.08
O 0.3539 0.3715 0.8647  1 Te 1.95, 1 Zn 2.08
O 0.3539 0.9824 0.6353  1 Te 1.95, 1 Zn 2.08
O 0.3715 0.0176 0.1353  1 Te 1.95, 1 Zn 2.08
O 0.3715 0.3539 0.3647  1 Te 1.95, 1 Zn 2.08
O 0.6285 0.6461 0.6353  1 Te 1.95, 1 Zn 2.08
O 0.6285 0.9824 0.8647  1 Te 1.95, 1 Zn 2.08
O 0.6461 0.0176 0.3647  1 Te 1.95, 1 Zn 2.08
O 0.6461 0.6285 0.1353  1 Te 1.95, 1 Zn 2.08
O 0.9824 0.3539 0.1353  1 Te 1.95, 1 Zn 2.08
O 0.9824 0.6285 0.3647  1 Te 1.95, 1 Zn 2.08


Entry 3:
A geometry-optimized Tl3ZnTe2O9 structure. Source: Alexandria via LeMat-Bulk, functional PBE-GGA.

Summary:
formation energy from raw total energies = -768 meV/atom
E = -4.720 eV/atom
total magnetization = 0.0 μB/cell

Unit cell a=5.7714 b=5.7714 c=7.1265 alpha=90.00 beta=90.00 gamma=120.00
With the nearest neighbours (Å) after each atom.
Positions (direct):
Tl 0.0000 0.0000 0.0000  12 O 2.84-2.89
Tl 0.3333 0.6667 0.6563  12 O 2.89-2.96
Tl 0.6667 0.3333 0.3437  12 O 2.89-2.96
Zn 0.0000 0.0000 0.5000  6 O 2.13
Te 0.3333 0.6667 0.1746  6 O 1.93-2.08
Te 0.6667 0.3333 0.8254  6 O 1.93-2.08
O 0.0000 0.5000 0.0000  2 Te 2.08
O 0.1699 0.3398 0.3191  1 Te 1.93, 1 Zn 2.13
O 0.1699 0.8301 0.3191  1 Te 1.93, 1 Zn 2.13
O 0.3398 0.1699 0.6809  1 Te 1.93, 1 Zn 2.13
O 0.5000 0.0000 0.0000  2 Te 2.08
O 0.5000 0.5000 0.0000  2 Te 2.08
O 0.6602 0.8301 0.3191  1 Te 1.93, 1 Zn 2.13
O 0.8301 0.1699 0.6809  1 Te 1.93, 1 Zn 2.13
O 0.8301 0.6602 0.6809  1 Te 1.93, 1 Zn 2.13


Entry 4:
A geometry-optimized TlZn2TeO6 structure. Source: Alexandria via LeMat-Bulk, functional PBE-GGA.

Summary:
formation energy from raw total energies = -1043 meV/atom
E = -4.823 eV/atom
total magnetization = 0.0 μB/cell

Unit cell a=6.8159 b=6.8159 c=6.7450 alpha=98.21 beta=98.21 gamma=86.91
With the nearest neighbours (Å) after each atom.
Positions (direct):
Tl 0.0944 0.9056 0.7500  4 O 2.31-2.39
Tl 0.9056 0.0944 0.2500  4 O 2.31-2.39
Zn 0.2508 0.3975 0.8893  4 O 1.97-2.07
Zn 0.3975 0.2508 0.3893  4 O 1.97-2.07
Zn 0.6025 0.7492 0.6107  4 O 1.97-2.07
Zn 0.7492 0.6025 0.1107  4 O 1.97-2.07
Te 0.2745 0.7256 0.2500  6 O 1.96-1.98
Te 0.7256 0.2745 0.7500  6 O 1.96-1.98
O 0.0164 0.2526 0.7528  1 Zn 1.97, 1 Te 1.98
O 0.2526 0.0164 0.2528  1 Zn 1.97, 1 Te 1.98
O 0.2641 0.6925 0.9560  1 Te 1.96, 1 Zn 2.00
O 0.2700 0.4317 0.2020  2 Zn 1.97-2.07, 1 Te 1.98
O 0.3075 0.7359 0.5440  1 Te 1.96, 1 Zn 2.00
O 0.4317 0.2700 0.7020  2 Zn 1.97-2.07, 1 Te 1.98
O 0.5683 0.7300 0.2980  2 Zn 1.97-2.07, 1 Te 1.98
O 0.6925 0.2641 0.4560  1 Te 1.96, 1 Zn 2.00
O 0.7300 0.5683 0.7980  2 Zn 1.97-2.07, 1 Te 1.98
O 0.7359 0.3075 0.0440  1 Te 1.96, 1 Zn 2.00
O 0.7474 0.9836 0.7472  1 Zn 1.97, 1 Te 1.98
O 0.9836 0.7474 0.2472  1 Zn 1.97, 1 Te 1.98


Entry 5:
A geometry-optimized Tl2Zn2TeO6 structure. Source: Alexandria via LeMat-Bulk, functional PBE-GGA.

Summary:
formation energy from raw total energies = -1019 meV/atom
E = -4.671 eV/atom
total magnetization = 0.0 μB/cell

Unit cell a=6.5979 b=6.5979 c=6.5979 alpha=53.57 beta=53.57 gamma=53.57
With the nearest neighbours (Å) after each atom.
Positions (direct):
Tl 0.2050 0.2050 0.2050  3 O 2.75, 1 Zn 2.98
Tl 0.7950 0.7950 0.7950  3 O 2.75, 1 Zn 2.98
Zn 0.3812 0.3812 0.3812  3 O 1.92
Zn 0.6188 0.6188 0.6188  3 O 1.92
Te 0.0000 0.0000 0.0000  6 O 1.96
O 0.2217 0.2217 0.7693  1 Zn 1.92, 1 Te 1.96
O 0.2217 0.7693 0.2217  1 Zn 1.92, 1 Te 1.96
O 0.2307 0.7783 0.7783  1 Zn 1.92, 1 Te 1.96
O 0.7693 0.2217 0.2217  1 Zn 1.92, 1 Te 1.96
O 0.7783 0.2307 0.7783  1 Zn 1.92, 1 Te 1.96
O 0.7783 0.7783 0.2307  1 Zn 1.92, 1 Te 1.96


Entry 6:
A geometry-optimized ZrTlTe2O8 structure. Source: Alexandria via LeMat-Bulk, functional PBE-GGA.

Summary:
formation energy from raw total energies = -1293 meV/atom
E = -6.032 eV/atom
total magnetization = 0.0 μB/cell

Unit cell a=6.6692 b=6.6692 c=5.2311 alpha=109.36 beta=109.36 gamma=52.80
With the nearest neighbours (Å) after each atom.
Positions (direct):
Zr 0.0000 0.0000 0.0000  6 O 2.02-2.18
Tl 0.5000 0.5000 0.5000  2 O 2.17
Te 0.2768 0.2768 0.7651  4 O 1.92-2.05
Te 0.7232 0.7232 0.2349  4 O 1.92-2.05
O 0.1082 0.1082 0.7815  1 Zr 2.02, 1 Te 2.05
O 0.1587 0.6274 0.7318  1 Te 2.02, 1 Zr 2.18
O 0.3281 0.3281 0.1581  1 Te 1.92
O 0.3726 0.8413 0.2682  1 Te 2.02, 1 Zr 2.18
O 0.6274 0.1587 0.7318  1 Te 2.02, 1 Zr 2.18
O 0.6719 0.6719 0.8419  1 Te 1.92
O 0.8413 0.3726 0.2682  1 Te 2.02, 1 Zr 2.18
O 0.8918 0.8918 0.2185  1 Zr 2.02, 1 Te 2.05